# GGA-PBE TlCl5, relaxed
# volume = 26.71 A^3/atom
# VASP energy = -1.991 eV/atom
# uncorrected formation energy = -0.34 eV/f.u.
# relative energy among the computed polymorphs = 1.98 eV per formula unit
data_TlCl5
_chemical_formula_sum 'Tl2 Cl10'
_symmetry_space_group_name_H-M 'C m m m'
_symmetry_Int_Tables_number 65
_symmetry_space_group_name_Hall '-C 2 2'
_cell_length_a 3.888
_cell_length_b 11.960
_cell_length_c 6.893
_cell_angle_alpha 90.00
_cell_angle_beta 90.00
_cell_angle_gamma 90.00
loop_
_atom_site_label
_atom_site_type_symbol
_atom_site_fract_x
_atom_site_fract_y
_atom_site_fract_z
_atom_site_occupancy
Tl1 Tl 0.000 0.000 0.000 1
Cl1 Cl 0.000 0.168 0.500 1
Cl2 Cl 0.000 0.347 0.000 1
Cl3 Cl 0.000 0.500 0.500 1

# GGA-PBE LiYGe2, relaxed
# volume = 20.40 A^3/atom
# VASP energy = -4.811 eV/atom
# DFT formation energy = -408.0 meV/atom
# relative energy among the computed polymorphs = 0.89 eV per formula unit
data_LiYGe2
_chemical_formula_sum 'Li4 Y4 Ge8'
_symmetry_space_group_name_H-M 'F m -3 m'
_symmetry_Int_Tables_number 225
_symmetry_space_group_name_Hall '-F 4 2 3'
_cell_length_a 6.885
_cell_length_b 6.885
_cell_length_c 6.885
_cell_angle_alpha 90.00
_cell_angle_beta 90.00
_cell_angle_gamma 90.00
loop_
_atom_site_label
_atom_site_type_symbol
_atom_site_fract_x
_atom_site_fract_y
_atom_site_fract_z
_atom_site_occupancy
Li1 Li 0.000 0.000 0.000 1
Y1 Y 0.000 0.000 0.500 1
Ge1 Ge 0.250 0.250 0.250 1

Q: The highest volume belongs to which entry?
A: TlCl5